GGA-PBE Pr6Sm3Tm2, optimized geometry; space-group type = R-3m; ΔE_f = 16.4 meV per atom; crystal system = trigonal; E above lowest polymorph = 0.0000 eV/atom; magnetization = 0.00 μB/cell; total energy = -4.691 eV/atom
1.0
-3.251 1.339 0.992
-1.487 -0.990 3.187
13.253 25.226 16.114
Pr Sm Tm
6 3 2
Direct
0.182 0.182 0.453
0.818 0.818 0.547
0.636 0.636 0.092
0.908 0.908 0.275
0.092 0.092 0.725
0.364 0.364 0.908
0.728 0.728 0.817
0.272 0.272 0.183
0.000 0.000 0.000
0.455 0.455 0.636
0.545 0.545 0.364

=====

GGA-PBE KRuCl2, optimized geometry; space-group type = I-42d; crystal system = tetragonal; E above lowest polymorph = 0.1353 eV/atom; magnetization = 1.66 μB/cell; uncorrected formation energy = -0.343 eV per atom; total energy = -3.860 eV/atom
1.0
-0.673 -2.127 -5.434
-4.573 -3.207 1.822
-6.748 2.383 -3.272
Cl Ru K
4 2 2
Direct
0.735 0.125 0.250
0.375 0.265 0.750
0.015 0.625 0.250
0.875 0.985 0.750
0.000 0.000 0.000
0.750 0.250 0.500
0.500 0.500 0.000
0.250 0.750 0.500

=====

> The lowest E above lowest polymorph belongs to which entry?

Pr6Sm3Tm2

=====

> Among the records above, which one has the highest magnetization?

KRuCl2